NiIrF5 | PBE with a Hubbard U | relaxed

Output
Space group   C2/c (15)
Crystal system   monoclinic
Calculated volume   14.81 Å³/atom
VASP energy   -4.390 eV/atom

Cell lengths 5.514, 5.514, 7.329 Å; angles 96.58, 96.58, 108.39 degrees
Positions (direct):
Ni (0.000, 0.000, 0.000)
Ni (0.000, 0.000, 0.500)
Ir (0.375, 0.625, 0.750)
Ir (0.625, 0.375, 0.250)
F (0.071, 0.929, 0.250)
F (0.151, 0.722, 0.568)
F (0.278, 0.849, 0.932)
F (0.314, 0.363, 0.083)
F (0.363, 0.314, 0.583)
F (0.637, 0.686, 0.417)
F (0.686, 0.637, 0.917)
F (0.722, 0.151, 0.068)
F (0.849, 0.278, 0.432)
F (0.929, 0.071, 0.750)